A plane-wave DFT calculation with PBE-GGA was carried out for a relaxed GdMg2Tl crystal.

Computed properties:
ΔH_f (0 K) (eV/atom): -0.2144
Space-group type: No. 123
Calculated total energy (eV/atom): -5.124
Spin magnetization (μB per formula unit): 7.24
DOS(E_F) (states/eV/f.u.): 3.007

Cell: 4.564 4.564 4.849 Å, 90.00 90.00 90.00°
Element x y z (fractional)
Gd 0.000 0.000 0.000
Mg 0.000 0.500 0.500
Mg 0.500 0.000 0.500
Tl 0.500 0.500 0.000

***

A plane-wave DFT calculation with PBE-GGA was carried out for a relaxed GdMgTl crystal.

Computed properties:
ΔH_f (0 K) (eV/atom): -0.3396
Space-group type: No. 189
Calculated total energy (eV/atom): -6.354
Spin magnetization (μB per formula unit): 7.00
DOS(E_F) (states/eV/f.u.): 0.302

Cell: 7.618 7.618 4.709 Å, 90.00 90.00 120.00°
Element x y z (fractional)
Gd 0.000 0.429 0.000
Gd 0.429 0.000 0.000
Gd 0.571 0.571 0.000
Mg 0.000 0.757 0.500
Mg 0.243 0.243 0.500
Mg 0.757 0.000 0.500
Tl 0.000 0.000 0.000
Tl 0.333 0.667 0.500
Tl 0.667 0.333 0.500

***

A plane-wave DFT calculation with PBE-GGA was carried out for a relaxed GdMgTl crystal.

Computed properties:
ΔH_f (0 K) (eV/atom): -0.1845
Space-group type: No. 216
Calculated total energy (eV/atom): -6.198
Spin magnetization (μB per formula unit): 7.01
DOS(E_F) (states/eV/f.u.): 2.066

Cell: 7.096 7.096 7.096 Å, 90.00 90.00 90.00°
Element x y z (fractional)
Gd 0.000 0.000 0.000
Gd 0.000 0.500 0.500
Gd 0.500 0.000 0.500
Gd 0.500 0.500 0.000
Mg 0.000 0.000 0.500
Mg 0.000 0.500 0.000
Mg 0.500 0.000 0.000
Mg 0.500 0.500 0.500
Tl 0.250 0.250 0.250
Tl 0.250 0.750 0.750
Tl 0.750 0.250 0.750
Tl 0.750 0.750 0.250

***

A plane-wave DFT calculation with PBE-GGA was carried out for a relaxed GdMgTl crystal.

Computed properties:
ΔH_f (0 K) (eV/atom): -0.1851
Space-group type: No. 107
Calculated total energy (eV/atom): -6.199
Spin magnetization (μB per formula unit): 7.64
DOS(E_F) (states/eV/f.u.): 2.341

Cell: 3.531 3.531 12.700 Å, 90.00 90.00 90.00°
Element x y z (fractional)
Gd 0.000 0.000 0.000
Gd 0.500 0.500 0.500
Mg 0.000 0.000 0.682
Mg 0.500 0.500 0.182
Tl 0.000 0.000 0.326
Tl 0.500 0.500 0.826

***

A plane-wave DFT calculation with PBE-GGA was carried out for a relaxed GdTmMg2 crystal.

Computed properties:
ΔH_f (0 K) (eV/atom): -0.0860
Space-group type: No. 123
Calculated total energy (eV/atom): -5.521
Spin magnetization (μB per formula unit): 8.00
DOS(E_F) (states/eV/f.u.): 3.996

Cell: 5.359 5.359 3.775 Å, 90.00 90.00 90.00°
Element x y z (fractional)
Gd 0.000 0.000 0.000
Tm 0.500 0.500 0.000
Mg 0.000 0.500 0.500
Mg 0.500 0.000 0.500

***

A plane-wave DFT calculation with PBE-GGA was carried out for a relaxed Gd2TmMg crystal.

Computed properties:
ΔH_f (0 K) (eV/atom): 0.1873
Space-group type: No. 166
Calculated total energy (eV/atom): -8.370
Spin magnetization (μB per formula unit): 14.57
DOS(E_F) (states/eV/f.u.): 4.653

Cell: 3.435 3.435 36.711 Å, 90.00 90.00 120.00°
Element x y z (fractional)
Gd 0.000 0.000 0.090
Gd 0.000 0.000 0.910
Gd 0.333 0.667 0.577
Gd 0.333 0.667 0.756
Gd 0.667 0.333 0.244
Gd 0.667 0.333 0.423
Tm 0.000 0.000 0.500
Tm 0.333 0.667 0.167
Tm 0.667 0.333 0.833
Mg 0.000 0.000 0.000
Mg 0.333 0.667 0.667
Mg 0.667 0.333 0.333